[1]
Below is a relaxed CdAgHg2 crystal, with properties calculated at the GGA-PBE level.

Unit cell a=3.104 b=3.104 c=9.592 alpha=90.00 beta=90.00 gamma=104.51
Fractional coordinates of all 4 atoms:
Hg 0.500 0.500 0.267
Hg 0.000 0.000 0.994
Cd 0.500 0.500 0.732
Ag 0.000 0.000 0.507

Properties
ΔE_f = 75.1 meV/atom
Space group = Cmm2
Total magnetic moment = 0.00 μB/f.u.
Crystal system = orthorhombic

***

[2]
Below is a relaxed CoP2RuS crystal, with properties calculated at the GGA-PBE level.

Unit cell a=4.194 b=4.194 c=4.443 alpha=90.00 beta=90.00 gamma=90.00
Fractional coordinates of all 5 atoms:
S 0.000 0.000 0.500
Co 0.000 0.000 0.000
P 0.500 0.000 0.000
P 0.000 0.500 0.000
Ru 0.500 0.500 0.500

Properties
Space group = P4/mmm
E_form (uncorrected) = 0.76 eV per atom
Polymorph energy (0 for the lowest one) = 0.0 kJ/mol of atoms
Total magnetic moment = 0.00 μB/f.u.
Crystal system = tetragonal

***

[3]
Below is a relaxed Pu5Tl3Cd3 crystal, with properties calculated at the GGA-PBE level.

Unit cell a=3.181 b=10.600 c=10.600 alpha=120.00 beta=90.00 gamma=90.00
Fractional coordinates of all 11 atoms:
Tl 0.000 0.392 0.392
Tl 0.000 0.608 0.000
Tl 0.000 0.000 0.608
Cd 0.500 0.844 0.000
Cd 0.500 0.000 0.844
Cd 0.500 0.156 0.156
Pu 0.500 0.000 0.347
Pu 0.500 0.667 0.333
Pu 0.500 0.347 0.000
Pu 0.500 0.653 0.653
Pu 0.500 0.333 0.667

Properties
ΔE_f = 276.1 meV/atom
Space group = P-62m
Total magnetic moment = 31.39 μB/f.u.
Crystal system = hexagonal

***

[4]
Below is a relaxed K2ZnIr crystal, with properties calculated at the GGA-PBE level.

Unit cell a=5.114 b=5.114 c=5.114 alpha=60.00 beta=60.00 gamma=60.00
Fractional coordinates of all 4 atoms:
K 0.250 0.250 0.250
K 0.000 0.000 0.000
Zn 0.750 0.750 0.750
Ir 0.500 0.500 0.500

Properties
ΔE_f = 636.5 meV/atom
Space group = F-43m
Total magnetic moment = 0.25 μB/f.u.
Crystal system = cubic

***

[5]
Below is a relaxed HfPdIO2 crystal, with properties calculated at the GGA-PBE level.

Unit cell a=3.995 b=3.995 c=6.358 alpha=90.00 beta=90.00 gamma=90.00
Fractional coordinates of all 5 atoms:
O 0.000 0.500 0.000
O 0.500 0.000 0.000
I 0.000 0.000 0.500
Hf 0.000 0.000 0.000
Pd 0.500 0.500 0.500

Properties
Space group = P4/mmm
E_form (uncorrected) = -1.50 eV per atom
Polymorph energy (0 for the lowest one) = 0.0 kJ/mol of atoms
Total magnetic moment = 0.00 μB/f.u.
Crystal system = tetragonal

***

[6]
Below is a relaxed K3WSe4 crystal, with properties calculated at the GGA-PBE level.

Unit cell a=6.586 b=6.634 c=12.787 alpha=90.00 beta=90.00 gamma=90.00
Fractional coordinates of all 16 atoms:
K 0.534 0.679 0.000
K 0.092 0.772 0.250
K 0.034 0.321 0.500
K 0.592 0.228 0.250
K 0.092 0.772 0.750
K 0.592 0.228 0.750
Se 0.594 0.727 0.662
Se 0.030 0.785 0.000
Se 0.109 0.824 0.500
Se 0.094 0.273 0.838
Se 0.530 0.215 0.500
Se 0.094 0.273 0.162
Se 0.594 0.727 0.338
Se 0.609 0.176 0.000
W 0.969 0.139 0.000
W 0.469 0.861 0.500

Properties
Space group = Pmn2_1
E_form (uncorrected) = -0.82 eV per atom
Total magnetic moment = 1.02 μB/f.u.
Crystal system = orthorhombic

***

[7]
Below is a relaxed YbMg16Al12 crystal, with properties calculated at the GGA-PBE level.

Unit cell a=9.135 b=9.135 c=9.135 alpha=109.47 beta=109.47 gamma=109.47
Fractional coordinates of all 29 atoms:
Yb 0.000 0.000 0.000
Al 0.814 0.182 0.814
Al 0.186 0.368 0.000
Al 0.368 0.186 0.000
Al 0.182 0.814 0.814
Al 0.000 0.186 0.368
Al 0.632 0.632 0.818
Al 0.000 0.368 0.186
Al 0.186 0.000 0.368
Al 0.814 0.814 0.182
Al 0.368 0.000 0.186
Al 0.818 0.632 0.632
Al 0.632 0.818 0.632
Mg 0.397 0.000 0.681
Mg 0.716 0.319 0.319
Mg 0.000 0.681 0.397
Mg 0.319 0.716 0.319
Mg 0.000 0.397 0.681
Mg 0.681 0.397 0.000
Mg 0.000 0.000 0.643
Mg 0.603 0.284 0.603
Mg 0.681 0.000 0.397
Mg 0.319 0.319 0.716
Mg 0.284 0.603 0.603
Mg 0.397 0.681 0.000
Mg 0.357 0.357 0.357
Mg 0.643 0.000 0.000
Mg 0.000 0.643 0.000
Mg 0.603 0.603 0.284

Properties
ΔE_f = -72.6 meV/atom
Space group = I-43m
Polymorph energy (0 for the lowest one) = 0.0 kJ/mol of atoms
Total magnetic moment = 0.00 μB/f.u.
Crystal system = cubic